Entry 1:
Crystalline NbHPd3 at its relaxed geometry, computed with GGA-PBE.

Properties
* ρ: 5.88 g/cm³
* uncorrected energy: -4.35 eV/atom
* energy relative to the lowest polymorph listed for this composition: 782 kJ/mol of formula units

abc: 4.8865 4.8865 4.8865
angles: 90.00 90.00 90.00
With the nearest neighbours (Å) after each atom.
Space group Pm-3m (No. 221)
Asymmetric unit:
Nb: 0.0000 0.0000 0.0000 [1 per cell]  6 Pd 2.44
H: 0.5000 0.5000 0.5000 [1 per cell]  12 Pd 3.46
Pd: 0.0000 0.0000 0.5000 [3 per cell]  2 Nb 2.44

=====

Entry 2:
Crystalline SmCdPb3 at its relaxed geometry, computed with GGA-PBE.

Properties
* ρ: 10.18 g/cm³
* uncorrected energy: -3.55 eV/atom
* formation energy: -0.194 eV per atom
* energy relative to the lowest polymorph listed for this composition: 0 kJ/mol of formula units

abc: 4.5548 6.0559 6.1115
angles: 76.36 68.13 68.13
With the nearest neighbours (Å) after each atom.
Space group P1 (No. 1)
Asymmetric unit:
Sm: 0.0000 0.0000 0.0000 [1 per cell]  9 Pb 3.35-3.58, 3 Cd 3.50-3.52
Cd: 0.1932 0.2168 0.3976 [1 per cell]  7 Pb 3.20-3.52, 3 Sm 3.50-3.52
Pb: 0.3882 0.4168 0.8042 [1 per cell]  6 Pb 3.33-3.60, 3 Sm 3.35-3.58, 3 Cd 3.43-3.52
Pb: 0.6188 0.5802 0.1851 [1 per cell]  2 Cd 3.20, 4 Pb 3.33-3.54, 3 Sm 3.35-3.54
Pb: 0.7873 0.8382 0.5869 [1 per cell]  2 Cd 3.21-3.22, 3 Sm 3.35-3.46, 3 Pb 3.41-3.54

=====

Entry 3:
Crystalline GaCoN2 at its relaxed geometry, computed with GGA-PBE.

Properties
* ρ: 6.24 g/cm³
* uncorrected energy: -6.28 eV/atom
* energy relative to the elements, uncorrected: 0.416 eV/atom

abc: 2.8683 2.8683 17.5514
angles: 90.00 90.00 120.00
With the nearest neighbours (Å) after each atom.
Space group R-3m (No. 166, hexagonal axes)
Asymmetric unit:
Ga: 0.0000 0.0000 0.0000 [3 per cell]  2 N 1.93
Co: 0.0000 0.0000 0.5000 [3 per cell]  6 N 1.93
N: 0.0000 0.0000 0.1099 [6 per cell]  1 Ga 1.93, 3 Co 1.93

=====

Entry 4:
Crystalline Zn5Cu4Rh at its relaxed geometry, computed with GGA-PBE.

Properties
* ρ: 7.71 g/cm³
* uncorrected energy: -2.92 eV/atom
* formation energy: 0.089 eV per atom
* energy relative to the lowest polymorph listed for this composition: 240 kJ/mol of formula units

abc: 7.5187 7.5187 5.2162
angles: 90.00 90.00 90.00
With the nearest neighbours (Å) after each atom.
Space group I4 (No. 79)
Asymmetric unit:
Zn: 0.0000 0.0000 0.0000 [2 per cell]  1 Rh 2.42, 4 Cu 2.44
Zn: 0.0661 0.6758 0.2708 [8 per cell]  4 Cu 2.42-2.60, 1 Rh 2.68
Cu: 0.1158 0.7498 0.7518 [8 per cell]  5 Zn 2.42-2.60, 1 Rh 2.56
Rh: 0.0000 0.0000 0.4638 [2 per cell]  5 Zn 2.42-2.68, 4 Cu 2.56

=====

Q: What is the uncorrected energy in the third record?
A: -6.28 eV/atom